1) Y2TiN2: relaxed, PBE.

Total magnetic moment = 0.375 μB per atom
V = 14.61 Å³/atom
Crystal system = tetragonal

a b c (Å): 6.4832 6.4832 3.4754
angles (deg): 90.00 90.00 90.00
Closest atoms and distances in Å follow each position.
Fractional positions:
Y (0.1606, 0.3394, 0.0000)  2 N 2.33
Y (0.3394, 0.8394, 0.0000)  2 N 2.33
Y (0.6606, 0.1606, 0.0000)  2 N 2.33
Y (0.8394, 0.6606, 0.0000)  2 N 2.33
Ti (0.0000, 0.0000, 0.5000)  4 N 2.41
Ti (0.5000, 0.5000, 0.5000)  4 N 2.41
N (0.1701, 0.6701, 0.5000)  2 Y 2.33, 2 Ti 2.41
N (0.3299, 0.1701, 0.5000)  2 Y 2.33, 2 Ti 2.41
N (0.6701, 0.8299, 0.5000)  2 Y 2.33, 2 Ti 2.41
N (0.8299, 0.3299, 0.5000)  2 Y 2.33, 2 Ti 2.41


2) Y2TiN2: relaxed, PBE.

Total magnetic moment = 0.000 μB per atom
V = 21.25 Å³/atom
Crystal system = tetragonal

a b c (Å): 5.8979 5.8979 5.8979
angles (deg): 133.45 133.45 67.95
Closest atoms and distances in Å follow each position.
Fractional positions:
Y (0.2500, 0.7500, 0.5000)  4 N 2.39
Y (0.7500, 0.2500, 0.5000)  4 N 2.39
Ti (0.0000, 0.0000, 0.0000)  2 N 1.92
N (0.1959, 0.1959, 0.0000)  1 Ti 1.92
N (0.8041, 0.8041, 0.0000)  1 Ti 1.92


Bottom line: 2), by a margin of 126 meV per atom.


1) YTiN: relaxed, PBE.

Total magnetic moment = 0.039 μB per atom
V = 16.57 Å³/atom
Crystal system = trigonal

a b c (Å): 3.2548 3.2548 5.4178
angles (deg): 90.00 90.00 120.00
Closest atoms and distances in Å follow each position.
Fractional positions:
Y (0.0000, 0.0000, 0.0000)  3 N 2.41
Ti (0.6667, 0.3333, 0.4572)  3 N 2.11
N (0.3333, 0.6667, 0.2785)  3 Ti 2.11


2) YTiN: relaxed, PBE.

Total magnetic moment = 0.000 μB per atom
V = 16.09 Å³/atom
Crystal system = tetragonal

a b c (Å): 3.3823 3.3823 8.4372
angles (deg): 90.00 90.00 90.00
Closest atoms and distances in Å follow each position.
Fractional positions:
Y (0.2500, 0.2500, 0.1890)  4 N 2.63
Y (0.7500, 0.7500, 0.8110)  4 N 2.63
Ti (0.2500, 0.7500, 0.5000)  4 N 2.27, 4 Ti 2.39
Ti (0.7500, 0.2500, 0.5000)  4 N 2.27, 4 Ti 2.39
N (0.2500, 0.2500, 0.6799)  4 Ti 2.27
N (0.7500, 0.7500, 0.3201)  4 Ti 2.27


Bottom line: 1), by a margin of 266 meV per atom.


1) YTi3N: relaxed, PBE.

Total magnetic moment = 0.330 μB per atom
V = 21.79 Å³/atom
Crystal system = cubic

a b c (Å): 4.7762 4.7762 4.7762
angles (deg): 90.00 90.00 90.00
Closest atoms and distances in Å follow each position.
Fractional positions:
Y (0.0000, 0.0000, 0.0000)  6 Ti 2.39
Ti (0.0000, 0.0000, 0.5000)  2 Y 2.39
Ti (0.0000, 0.5000, 0.0000)  2 Y 2.39
Ti (0.5000, 0.0000, 0.0000)  2 Y 2.39
N (0.5000, 0.5000, 0.5000)  12 Ti 3.38


2) YTi3N: relaxed, PBE.

Total magnetic moment = 0.000 μB per atom
V = 16.30 Å³/atom
Crystal system = cubic

a b c (Å): 4.3355 4.3355 4.3355
angles (deg): 90.00 90.00 90.00
Closest atoms and distances in Å follow each position.
Fractional positions:
Y (0.0000, 0.0000, 0.0000)  12 Ti 3.07
Ti (0.0000, 0.5000, 0.5000)  2 N 2.17
Ti (0.5000, 0.0000, 0.5000)  2 N 2.17
Ti (0.5000, 0.5000, 0.0000)  2 N 2.17
N (0.5000, 0.5000, 0.5000)  6 Ti 2.17


Bottom line: 2), by a margin of 3028 meV per atom.


1) Ti4ZnN: relaxed, PBE.

Total magnetic moment = 0.408 μB per atom
V = 17.54 Å³/atom
Crystal system = tetragonal

a b c (Å): 3.9408 3.9408 6.7764
angles (deg): 90.00 90.00 90.00
Closest atoms and distances in Å follow each position.
Fractional positions:
Ti (0.0000, 0.0000, 0.1887)  1 N 2.11
Ti (0.0000, 0.0000, 0.8113)  1 N 2.11
Ti (0.0000, 0.5000, 0.5000)  2 N 1.97
Ti (0.5000, 0.0000, 0.5000)  2 N 1.97
Zn (0.5000, 0.5000, 0.0000)  8 Ti 3.07
N (0.0000, 0.0000, 0.5000)  6 Ti 1.97-2.11


2) Ti4ZnN: relaxed, PBE.

Total magnetic moment = 0.000 μB per atom
V = 16.26 Å³/atom
Crystal system = monoclinic

a b c (Å): 7.2480 4.7225 6.2411
angles (deg): 90.00 114.00 90.00
Closest atoms and distances in Å follow each position.
Fractional positions:
Ti (0.1209, 0.2465, 0.3057)  2 N 2.11-2.12
Ti (0.1209, 0.2535, 0.8057)  2 N 2.11-2.12
Ti (0.2383, 0.7368, 0.6161)  1 N 2.01
Ti (0.2383, 0.7632, 0.1161)  1 N 2.01
Ti (0.7617, 0.2368, 0.8839)  1 N 2.01
Ti (0.7617, 0.2632, 0.3839)  1 N 2.01
Ti (0.8791, 0.7465, 0.1943)  2 N 2.11-2.12
Ti (0.8791, 0.7535, 0.6943)  2 N 2.11-2.12
Zn (0.5000, 0.0000, 0.5000)  6 Ti 2.61-2.77
Zn (0.5000, 0.5000, 0.0000)  6 Ti 2.61-2.77
N (0.0000, 0.0000, 0.5000)  6 Ti 2.01-2.12
N (0.0000, 0.5000, 0.0000)  6 Ti 2.01-2.12


Bottom line: 2), by a margin of 399 meV per atom.


1) Ti2ZnN2: relaxed, PBE.

Total magnetic moment = 0.000 μB per atom
V = 10.96 Å³/atom
Crystal system = tetragonal

a b c (Å): 6.2845 6.2845 2.7760
angles (deg): 90.00 90.00 90.00
Closest atoms and distances in Å follow each position.
Fractional positions:
Ti (0.1401, 0.3599, 0.0000)  6 N 2.27-2.36, 2 Zn 2.43, 1 Ti 2.49
Ti (0.3599, 0.8599, 0.0000)  6 N 2.27-2.36, 2 Zn 2.43, 1 Ti 2.49
Ti (0.6401, 0.1401, 0.0000)  6 N 2.27-2.36, 2 Zn 2.43, 1 Ti 2.49
Ti (0.8599, 0.6401, 0.0000)  6 N 2.27-2.36, 2 Zn 2.43, 1 Ti 2.49
Zn (0.0000, 0.0000, 0.0000)  4 Ti 2.43
Zn (0.5000, 0.5000, 0.0000)  4 Ti 2.43
N (0.1456, 0.6456, 0.5000)  6 Ti 2.27-2.36
N (0.3544, 0.1456, 0.5000)  6 Ti 2.27-2.36
N (0.6456, 0.8544, 0.5000)  6 Ti 2.27-2.36
N (0.8544, 0.3544, 0.5000)  6 Ti 2.27-2.36


2) Ti2ZnN2: relaxed, PBE.

Total magnetic moment = 0.000 μB per atom
V = 13.10 Å³/atom
Crystal system = tetragonal

a b c (Å): 5.5117 5.5117 5.5117
angles (deg): 141.11 141.11 56.17
Closest atoms and distances in Å follow each position.
Fractional positions:
Ti (0.1671, 0.1671, 0.0000)  4 N 2.00
Ti (0.8329, 0.8329, 0.0000)  4 N 2.00
Zn (0.5000, 0.5000, 0.0000)  8 N 3.05, 10 Ti 3.06-3.24
N (0.2500, 0.7500, 0.5000)  4 Ti 2.00
N (0.7500, 0.2500, 0.5000)  4 Ti 2.00


Bottom line: 2), by a margin of 539 meV per atom.


1) TiZn4N4: relaxed, PBE.

Total magnetic moment = 0.000 μB per atom
V = 12.04 Å³/atom
Crystal system = orthorhombic

a b c (Å): 5.7266 5.7266 6.6402
angles (deg): 90.00 90.00 84.30
Closest atoms and distances in Å follow each position.
Fractional positions:
Ti (0.1603, 0.8397, 0.7500)  4 N 1.95-1.97
Ti (0.8397, 0.1603, 0.2500)  4 N 1.95-1.97
Zn (0.0745, 0.6288, 0.2500)  4 N 2.03-2.26
Zn (0.3386, 0.3386, 0.0000)  4 N 2.04-2.11
Zn (0.3386, 0.3386, 0.5000)  4 N 2.04-2.11
Zn (0.3712, 0.9255, 0.2500)  4 N 2.03-2.26
Zn (0.6288, 0.0745, 0.7500)  4 N 2.03-2.26
Zn (0.6614, 0.6614, 0.0000)  4 N 2.04-2.11
Zn (0.6614, 0.6614, 0.5000)  4 N 2.04-2.11
Zn (0.9255, 0.3712, 0.7500)  4 N 2.03-2.26
N (0.1676, 0.2368, 0.2500)  1 Ti 1.97, 3 Zn 2.03-2.04
N (0.2368, 0.1676, 0.7500)  1 Ti 1.97, 3 Zn 2.03-2.04
N (0.2919, 0.7081, 0.0005)  1 Ti 1.95, 4 Zn 2.11-2.15
N (0.2919, 0.7081, 0.4995)  1 Ti 1.95, 4 Zn 2.11-2.15
N (0.7081, 0.2919, 0.9995)  1 Ti 1.95, 4 Zn 2.11-2.15
N (0.7081, 0.2919, 0.5005)  1 Ti 1.95, 4 Zn 2.11-2.15
N (0.7632, 0.8324, 0.2500)  1 Ti 1.97, 3 Zn 2.03-2.04
N (0.8324, 0.7632, 0.7500)  1 Ti 1.97, 3 Zn 2.03-2.04


2) TiZn4N4: relaxed, PBE.

Total magnetic moment = 0.000 μB per atom
V = 12.37 Å³/atom
Crystal system = triclinic

a b c (Å): 5.4918 5.5772 8.1916
angles (deg): 71.18 80.97 69.87
Closest atoms and distances in Å follow each position.
Fractional positions:
Ti (0.2058, 0.1263, 0.2232)  4 N 1.93-2.01
Ti (0.7942, 0.8737, 0.7768)  4 N 1.93-2.01
Zn (0.2059, 0.3048, 0.8046)  3 N 1.97-2.11
Zn (0.2499, 0.5569, 0.4427)  3 N 2.03-2.15
Zn (0.2534, 0.0205, 0.5689)  4 N 2.01-2.22
Zn (0.2875, 0.7118, 0.9679)  3 N 1.96-2.03
Zn (0.7125, 0.2882, 0.0321)  3 N 1.96-2.03
Zn (0.7466, 0.9795, 0.4311)  4 N 2.01-2.22
Zn (0.7501, 0.4431, 0.5573)  3 N 2.03-2.15
Zn (0.7941, 0.6952, 0.1954)  3 N 1.97-2.11
N (0.0536, 0.3672, 0.3627)  1 Ti 1.93, 3 Zn 2.04-2.15
N (0.0612, 0.0103, 0.7995)  1 Ti 1.93, 3 Zn 1.96-2.07
N (0.3419, 0.3195, 0.0080)  1 Ti 1.93, 3 Zn 1.97-2.03
N (0.4516, 0.8199, 0.3871)  1 Ti 2.01, 3 Zn 2.03-2.22
N (0.5484, 0.1801, 0.6129)  1 Ti 2.01, 3 Zn 2.03-2.22
N (0.6581, 0.6805, 0.9920)  1 Ti 1.93, 3 Zn 1.97-2.03
N (0.9388, 0.9897, 0.2005)  1 Ti 1.93, 3 Zn 1.96-2.07
N (0.9464, 0.6328, 0.6373)  1 Ti 1.93, 3 Zn 2.04-2.15


Bottom line: 1), by a margin of 11 meV per atom.


1) Zr3TiN: relaxed, PBE.

Total magnetic moment = 0.000 μB per atom
V = 23.18 Å³/atom
Crystal system = cubic

a b c (Å): 4.8757 4.8757 4.8757
angles (deg): 90.00 90.00 90.00
Closest atoms and distances in Å follow each position.
Fractional positions:
Zr (0.0000, 0.0000, 0.5000)  2 Ti 2.44
Zr (0.0000, 0.5000, 0.0000)  2 Ti 2.44
Zr (0.5000, 0.0000, 0.0000)  2 Ti 2.44
Ti (0.0000, 0.0000, 0.0000)  6 Zr 2.44
N (0.5000, 0.5000, 0.5000)  12 Zr 3.45


2) Zr3TiN: relaxed, PBE.

Total magnetic moment = 0.000 μB per atom
V = 18.38 Å³/atom
Crystal system = cubic

a b c (Å): 4.5126 4.5126 4.5126
angles (deg): 90.00 90.00 90.00
Closest atoms and distances in Å follow each position.
Fractional positions:
Zr (0.0000, 0.0000, 0.5000)  2 N 2.26
Zr (0.0000, 0.5000, 0.0000)  2 N 2.26
Zr (0.5000, 0.0000, 0.0000)  2 N 2.26
Ti (0.5000, 0.5000, 0.5000)  12 Zr 3.19
N (0.0000, 0.0000, 0.0000)  6 Zr 2.26


3) Zr3TiN: relaxed, PBE.

Total magnetic moment = 0.000 μB per atom
V = 18.42 Å³/atom
Crystal system = monoclinic

a b c (Å): 6.2469 6.2469 6.0566
angles (deg): 110.88 110.88 105.45
Closest atoms and distances in Å follow each position.
Fractional positions:
Zr (0.0201, 0.4790, 0.7521)  1 N 2.28
Zr (0.0606, 0.0606, 0.3007)  2 N 2.23-2.26
Zr (0.4790, 0.0201, 0.7521)  1 N 2.28
Zr (0.5210, 0.9799, 0.2479)  1 N 2.28
Zr (0.9394, 0.9394, 0.6993)  2 N 2.23-2.26
Zr (0.9799, 0.5210, 0.2479)  1 N 2.28
Ti (0.4463, 0.4463, 0.1868)  2 N 2.05-2.08
Ti (0.5537, 0.5537, 0.8132)  2 N 2.05-2.08
N (0.2610, 0.2610, 0.7623)  2 Ti 2.05-2.08, 4 Zr 2.23-2.28
N (0.7390, 0.7390, 0.2377)  2 Ti 2.05-2.08, 4 Zr 2.23-2.28


Bottom line: 3), by a margin of 16 meV per atom.


1) Zr2TiN2: relaxed, PBE.

Total magnetic moment = 0.000 μB per atom
V = 13.66 Å³/atom
Crystal system = orthorhombic

a b c (Å): 8.5836 8.5836 5.3556
angles (deg): 90.00 90.00 159.75
Closest atoms and distances in Å follow each position.
Fractional positions:
Zr (0.0159, 0.9841, 0.5000)  4 N 2.45-2.46, 2 Zr 2.73
Zr (0.1899, 0.8101, 0.3336)  5 N 2.24-2.51
Zr (0.8101, 0.1899, 0.8336)  5 N 2.24-2.51
Zr (0.9841, 0.0159, 0.0000)  4 N 2.45-2.46, 2 Zr 2.73
Ti (0.3640, 0.6360, 0.3661)  3 N 2.00-2.02
Ti (0.6360, 0.3640, 0.8661)  3 N 2.00-2.02
N (0.2132, 0.7868, 0.8862)  2 Ti 2.00
N (0.4206, 0.5794, 0.6976)  1 Ti 2.02
N (0.5794, 0.4206, 0.1976)  1 Ti 2.02
N (0.7868, 0.2132, 0.3862)  2 Ti 2.00


2) Zr2TiN2: relaxed, PBE.

Total magnetic moment = 0.000 μB per atom
V = 13.73 Å³/atom
Crystal system = monoclinic

a b c (Å): 5.6225 5.6225 6.2634
angles (deg): 111.62 111.62 49.34
Closest atoms and distances in Å follow each position.
Fractional positions:
Zr (0.0169, 0.0169, 0.2604)  4 N 2.25-2.35
Zr (0.3285, 0.3285, 0.9012)  5 N 2.24-2.35
Zr (0.6715, 0.6715, 0.0988)  5 N 2.24-2.35
Zr (0.9831, 0.9831, 0.7396)  4 N 2.25-2.35
Ti (0.3528, 0.3528, 0.3974)  3 N 2.05-2.07
Ti (0.6472, 0.6472, 0.6026)  3 N 2.05-2.07
N (0.1725, 0.1725, 0.0899)  1 Ti 2.06, 2 Zr 2.25-2.26
N (0.4941, 0.4941, 0.7404)  2 Ti 2.05-2.07, 1 Zr 2.24
N (0.5059, 0.5059, 0.2596)  2 Ti 2.05-2.07, 1 Zr 2.24
N (0.8275, 0.8275, 0.9101)  1 Ti 2.06, 2 Zr 2.25-2.26


Bottom line: 2), by a margin of 404 meV per atom.